The following is a DFT calculation (PBE-GGA) of a relaxed ThAgTe2 crystal.

Values from the calculation:
Raw formation energy (eV/atom): -0.61
Volume (Å³ per cell): 452
Magnetic moment (μB per formula unit): 0.000

abc: 4.3350 4.3350 27.7493
angles: 90.00 90.00 120.00
Closest atoms and distances in Å follow each position.
Space group R-3m (No. 166, hexagonal axes)
Inequivalent atoms, fractional coordinates:
Th  0.0000  0.0000  0.0000  6 Te 3.17
Ag  0.0000  0.0000  0.5000  2 Te 2.68
Te  0.0000  0.0000  0.4033  1 Ag 2.68

---

The following is a DFT calculation (PBE-GGA) of a relaxed ThAg2Te4 crystal.

Values from the calculation:
Raw formation energy (eV/atom): -0.47
Volume (Å³ per cell): 843
Magnetic moment (μB per formula unit): 0.000

abc: 4.3650 14.6013 13.2328
angles: 90.00 90.00 90.00
Closest atoms and distances in Å follow each position.
Space group Cmcm (No. 63)
Inequivalent atoms, fractional coordinates:
Th  0.0000  0.1043  0.2500  6 Te 3.15-3.20
Ag  0.0000  0.3713  0.0617  4 Te 2.74-2.99
Te  0.0000  0.0000  0.0000  4 Ag 2.99
Te  0.0000  0.2839  0.6227  1 Ag 2.75
Te  0.0000  0.4486  0.2500  2 Ag 2.74

---

The following is a DFT calculation (PBE-GGA) of a relaxed Th5Ag3Te12 crystal.

Values from the calculation:
Raw formation energy (eV/atom): -0.48
Volume (Å³ per cell): 6251
Magnetic moment (μB per formula unit): 0.000

abc: 18.4209 18.4209 18.4209
angles: 90.00 90.00 90.00
Closest atoms and distances in Å follow each position.
Space group Ia-3d (No. 230)
Inequivalent atoms, fractional coordinates:
Th  0.0000  0.0000  0.0000  6 Te 3.14
Th  0.0000  0.2500  0.3750  4 Te 2.99
Ag  0.0000  0.2500  0.1250  4 Te 3.18
Te  0.0293  0.0812  0.6468  2 Th 2.99-3.14, 1 Ag 3.18

---

The following is a DFT calculation (PBE-GGA) of a relaxed Th3Ag5Te12 crystal.

Values from the calculation:
Raw formation energy (eV/atom): -0.45
Volume (Å³ per cell): 5269
Magnetic moment (μB per formula unit): 0.000

abc: 17.4009 17.4009 17.4009
angles: 90.00 90.00 90.00
Closest atoms and distances in Å follow each position.
Space group Ia-3d (No. 230)
Inequivalent atoms, fractional coordinates:
Th  0.0000  0.2500  0.1250  8 Te 3.25-3.27
Ag  0.0000  0.0000  0.0000  6 Te 2.90
Ag  0.0000  0.2500  0.3750  4 Te 2.75
Te  0.0206  0.0662  0.6514  2 Ag 2.75-2.90

---

The following is a DFT calculation (PBE-GGA) of a relaxed ThAgTe crystal.

Values from the calculation:
Raw formation energy (eV/atom): -0.56
Volume (Å³ per cell): 533
Magnetic moment (μB per formula unit): 0.044

abc: 4.9727 4.9727 24.8776
angles: 90.00 90.00 120.00
Closest atoms and distances in Å follow each position.
Space group R-3m (No. 166, hexagonal axes)
Inequivalent atoms, fractional coordinates:
Th  0.0000  0.0000  0.0718  4 Te 3.16-3.41, 6 Ag 3.37-3.39
Ag  0.0000  0.0000  0.3323  3 Ag 2.87, 1 Te 3.07
Te  0.0000  0.0000  0.2088  1 Ag 3.07, 4 Th 3.16-3.41

---

The following is a DFT calculation (PBE-GGA) of a relaxed Th3AgTe6 crystal.

Values from the calculation:
Raw formation energy (eV/atom): -1.01
Volume (Å³ per cell): 1365
Magnetic moment (μB per formula unit): 0.000

abc: 12.3067 14.8563 7.4657
angles: 90.00 90.00 90.00
Closest atoms and distances in Å follow each position.
Space group Cmc2_1 (No. 36)
Inequivalent atoms, fractional coordinates:
Th  0.0000  0.1059  0.0000  7 Te 3.13-3.26
Th  0.1675  0.4018  0.1039  7 Te 3.16-3.23
Ag  0.0000  0.2795  0.6645  4 Te 2.80-2.93
Te  0.0000  0.2694  0.2859  1 Ag 2.83, 2 Th 3.16
Te  0.0000  0.4645  0.7985  1 Ag 2.93, 4 Th 3.21
Te  0.1630  0.0351  0.3018  4 Th 3.19-3.26
Te  0.1876  0.2271  0.8500  1 Ag 2.80, 1 Th 3.13

---

The following is a DFT calculation (PBE-GGA) of a relaxed ThTlAg2Te4 crystal.

Values from the calculation:
Raw formation energy (eV/atom): -0.38
Volume (Å³ per cell): 504
Magnetic moment (μB per formula unit): 0.000

abc: 7.5244 8.0413 8.3364
angles: 90.00 90.00 90.00
Closest atoms and distances in Å follow each position.
Space group I222 (No. 23)
Inequivalent atoms, fractional coordinates:
Th  0.0000  0.0000  0.0000  4 Te 3.09
Tl  0.0000  0.0000  0.5000  8 Te 3.29-3.67
Ag  0.0000  0.5000  0.3268  4 Te 2.76-2.97, 1 Ag 2.89
Te  0.2382  0.2403  0.8063  2 Ag 2.76-2.97, 1 Th 3.09

---

The following is a DFT calculation (PBE-GGA) of a relaxed Th2TlAg3Te6 crystal.

Values from the calculation:
Raw formation energy (eV/atom): -0.60
Volume (Å³ per cell): 820
Magnetic moment (μB per formula unit): 0.000

abc: 17.7058 4.6014 10.1416
angles: 90.00 97.21 90.00
Closest atoms and distances in Å follow each position.
Space group C2/m (No. 12)
Inequivalent atoms, fractional coordinates:
Th  0.1608  0.0000  0.3237  6 Te 2.99-3.23
Tl  0.0000  0.5000  0.0000  6 Te 3.43-3.55
Ag  0.0000  0.5000  0.5000  2 Te 2.87
Ag  0.1688  0.0000  0.7236  4 Te 2.77-2.92
Te  0.0089  0.0000  0.7362  1 Ag 2.85, 1 Th 2.99
Te  0.1631  0.5000  0.5460  3 Ag 2.87-2.92
Te  0.1888  0.5000  0.1270  1 Ag 2.77

---

The following is a DFT calculation (PBE-GGA) of a relaxed TiAg3Te4 crystal.

Values from the calculation:
Raw formation energy (eV/atom): -0.29
Offset from the most stable computed form (meV per atom): 0
Volume (Å³ per cell): 275
Magnetic moment (μB per formula unit): 0.000

abc: 6.5043 6.5043 6.5043
angles: 90.00 90.00 90.00
Closest atoms and distances in Å follow each position.
Space group P-43m (No. 215)
Inequivalent atoms, fractional coordinates:
Ti  0.0000  0.0000  0.0000  4 Te 2.68
Ag  0.0000  0.0000  0.5000  4 Te 2.77
Te  0.2381  0.2381  0.2381  1 Ti 2.68, 3 Ag 2.77

---

The following is a DFT calculation (PBE-GGA) of a relaxed TiAg5Te5 crystal.

Values from the calculation:
Raw formation energy (eV/atom): -0.09
Volume (Å³ per cell): 630
Magnetic moment (μB per formula unit): 0.000

abc: 15.3667 5.0478 8.3320
angles: 90.00 102.93 90.00
Closest atoms and distances in Å follow each position.
Space group C2/m (No. 12)
Inequivalent atoms, fractional coordinates:
Ti  0.0000  0.0000  0.0000  2 Te 2.52
Ag  0.0000  0.0000  0.5000  4 Te 2.76-2.98
Ag  0.2080  0.5000  0.4149  3 Te 2.84-2.96, 2 Ag 3.04
Ag  0.2228  0.5000  0.8890  4 Te 2.84-3.15, 2 Ag 3.13
Te  0.0000  0.5000  0.0000  2 Ti 2.52
Te  0.1287  0.0000  0.3167  4 Ag 2.76-2.96, 1 Ti 2.92
Te  0.1384  0.0000  0.8147  4 Ag 2.84-2.98, 1 Ti 2.89

---

The following is a DFT calculation (PBE-GGA) of a relaxed TiAgTe3 crystal.

Values from the calculation:
Raw formation energy (eV/atom): -0.35
Offset from the most stable computed form (meV per atom): 0
Volume (Å³ per cell): 294
Magnetic moment (μB per formula unit): 0.000

abc: 8.4023 3.5082 10.0219
angles: 90.00 96.05 90.00
Closest atoms and distances in Å follow each position.
Space group P2_1/m (No. 11)
Inequivalent atoms, fractional coordinates:
Ti  0.0775  0.2500  0.1583  6 Te 2.74-2.85
Ag  0.3668  0.2500  0.6296  4 Te 2.76-2.94
Te  0.0478  0.2500  0.6709  2 Ti 2.74, 1 Ag 2.76
Te  0.2212  0.7500  0.9974  3 Ti 2.75-2.81
Te  0.3656  0.2500  0.3365  3 Ag 2.84-2.94, 1 Ti 2.85

---

The following is a DFT calculation (PBE-GGA) of a relaxed TiAgTe4 crystal.

Values from the calculation:
Raw formation energy (eV/atom): -0.27
Offset from the most stable computed form (meV per atom): 0
Volume (Å³ per cell): 342
Magnetic moment (μB per formula unit): 0.000

abc: 13.8500 3.9028 7.4756
angles: 90.00 122.23 90.00
Closest atoms and distances in Å follow each position.
Space group C2/m (No. 12)
Inequivalent atoms, fractional coordinates:
Ti  0.0000  0.0000  0.0000  6 Te 2.78-2.79
Ag  0.0000  0.5000  0.5000  6 Te 2.75-3.07
Te  0.1211  0.5000  0.3039  1 Ag 2.75, 2 Ti 2.78
Te  0.1512  0.0000  0.8606  1 Ti 2.79, 2 Ag 3.07, 2 Te 3.09

---

The following is a DFT calculation (PBE-GGA) of a relaxed TiAgTe4 crystal.

Values from the calculation:
Raw formation energy (eV/atom): -0.24
Offset from the most stable computed form (meV per atom): 28
Volume (Å³ per cell): 780
Magnetic moment (μB per formula unit): 0.000

abc: 8.9826 15.4723 5.6196
angles: 90.00 92.35 90.00
Closest atoms and distances in Å follow each position.
Space group C2/c (No. 15)
Inequivalent atoms, fractional coordinates:
Ti  0.0000  0.0063  0.2500  2 Ti 2.82, 8 Te 2.86-3.07
Ag  0.0000  0.4965  0.7500  2 Ag 2.81, 4 Te 2.88-2.89
Te  0.0996  0.1508  0.9748  2 Ti 2.87-2.88, 1 Te 3.04
Te  0.2446  0.4199  0.5067  2 Ti 2.86-3.07, 2 Ag 2.88-2.89

---

The following is a DFT calculation (PBE-GGA) of a relaxed TiAg3Te4 crystal.

Values from the calculation:
Raw formation energy (eV/atom): -0.19
Offset from the most stable computed form (meV per atom): 97
Volume (Å³ per cell): 512
Magnetic moment (μB per formula unit): 0.000

abc: 8.8588 7.7075 7.5044
angles: 90.00 90.00 90.00
Closest atoms and distances in Å follow each position.
Space group Pmn2_1 (No. 31)
Inequivalent atoms, fractional coordinates:
Ti  0.0000  0.1731  0.0000  4 Te 2.61-2.64
Ag  0.0000  0.8594  0.4635  4 Te 2.77-2.83
Ag  0.2409  0.3266  0.4655  4 Te 2.78-2.82
Te  0.0000  0.1733  0.6522  1 Ti 2.61, 3 Ag 2.80-2.81
Te  0.0000  0.8436  0.0942  1 Ti 2.64, 3 Ag 2.77-2.81
Te  0.2493  0.6697  0.5958  1 Ti 2.63, 3 Ag 2.78-2.83

---

The following is a DFT calculation (PBE-GGA) of a relaxed Ti2Ag2Te crystal.

Values from the calculation:
Raw formation energy (eV/atom): 0.04
Volume (Å³ per cell): 203
Magnetic moment (μB per formula unit): 1.163

abc: 6.9513 6.9513 4.2082
angles: 90.00 90.00 90.00
Closest atoms and distances in Å follow each position.
Space group P4/mbm (No. 127)
Inequivalent atoms, fractional coordinates:
Ti  0.1411  0.3589  0.0000  2 Te 2.68, 1 Ti 2.77, 6 Ag 2.90-2.97
Ag  0.1453  0.6453  0.5000  1 Ag 2.86, 6 Ti 2.90-2.97
Te  0.0000  0.0000  0.0000  4 Ti 2.68

---

The following is a DFT calculation (PBE-GGA) of a relaxed TiAgTe3 crystal.

Values from the calculation:
Raw formation energy (eV/atom): 0.08
Offset from the most stable computed form (meV per atom): 427
Volume (Å³ per cell): 152
Magnetic moment (μB per formula unit): 0.000

abc: 5.3412 5.3412 5.3412
angles: 90.00 90.00 90.00
Closest atoms and distances in Å follow each position.
Space group Pm-3m (No. 221)
Inequivalent atoms, fractional coordinates:
Ti  0.0000  0.0000  0.0000  6 Te 2.67
Ag  0.5000  0.5000  0.5000  12 Te 3.78
Te  0.0000  0.0000  0.5000  2 Ti 2.67